DFT (GGA+U) results for crystalline Ac3WCl2O6 at its relaxed geometry.

a = 12.7103 Å, b = 6.7935 Å, c = 5.6954 Å
α = 90.00°, β = 97.27°, γ = 90.00°
Space group C2/m (No. 12)
One atom of each set of equivalent atoms:
1 Ac 0.0000 0.0000 0.0000 [2 per cell]
2 Ac 0.2500 0.2500 0.5000 [4 per cell]
3 W 0.0000 0.5000 0.5000 [2 per cell]
4 Cl 0.2158 0.0000 0.9089 [4 per cell]
5 O 0.0549 0.2834 0.3050 [8 per cell]
6 O 0.1416 0.5000 0.6711 [4 per cell]

Calculated values
energy: -165.0 eV for the cell shown
magnetization: 0.4 μB per formula unit
crystal system: monoclinic